Record 1
# GGA-PBE Ta4CoPN2, relaxed
data_Ta4CoPN2
_symmetry_space_group_name_H-M 'P 1'
_symmetry_Int_Tables_number 1
_symmetry_space_group_name_Hall 'P 1'
_cell_length_a 3.1674
_cell_length_b 3.1674
_cell_length_c 12.0933
_cell_angle_alpha 90.00
_cell_angle_beta 90.00
_cell_angle_gamma 120.00
loop_
_atom_site_label
_atom_site_fract_x
_atom_site_fract_y
_atom_site_fract_z
Ta1 0.0000 0.0000 0.1450
Ta2 0.0000 0.0000 0.8550
Ta3 0.6667 0.3333 0.3475
Ta4 0.6667 0.3333 0.6525
Co1 0.0000 0.0000 0.5000
P1 0.6667 0.3333 0.0000
N1 0.3333 0.6667 0.2501
N2 0.3333 0.6667 0.7499
# Total moment = 0.17 μB/f.u.
# Total energy = -10.173 eV per atom

=====

Record 2
# GGA-PBE YTaAsO, relaxed
data_YTaAsO
_symmetry_space_group_name_H-M 'P 1'
_symmetry_Int_Tables_number 1
_symmetry_space_group_name_Hall 'P 1'
_cell_length_a 3.9587
_cell_length_b 3.9587
_cell_length_c 9.0155
_cell_angle_alpha 90.00
_cell_angle_beta 90.00
_cell_angle_gamma 90.00
loop_
_atom_site_label
_atom_site_fract_x
_atom_site_fract_y
_atom_site_fract_z
Y1 0.2500 0.2500 0.1220
Y2 0.7500 0.7500 0.8780
Ta1 0.2500 0.7500 0.5000
Ta2 0.7500 0.2500 0.5000
As1 0.2500 0.2500 0.6999
As2 0.7500 0.7500 0.3001
O1 0.2500 0.7500 0.0000
O2 0.7500 0.2500 0.0000
# Total moment = 0.04 μB/f.u.
# Offset from the most stable computed form = 0 meV/atom

=====

Record 3
# GGA-PBE Rb2HgIrBr6, relaxed
data_Rb2HgIrBr6
_symmetry_space_group_name_H-M 'P 1'
_symmetry_Int_Tables_number 1
_symmetry_space_group_name_Hall 'P 1'
_cell_length_a 7.7309
_cell_length_b 7.7309
_cell_length_c 7.7309
_cell_angle_alpha 60.00
_cell_angle_beta 60.00
_cell_angle_gamma 60.00
loop_
_atom_site_label
_atom_site_fract_x
_atom_site_fract_y
_atom_site_fract_z
Rb1 0.2500 0.2500 0.2500
Rb2 0.7500 0.7500 0.7500
Hg1 0.0000 0.0000 0.0000
Ir1 0.5000 0.5000 0.5000
Br1 0.2692 0.2692 0.7308
Br2 0.2692 0.7308 0.2692
Br3 0.2692 0.7308 0.7308
Br4 0.7308 0.2692 0.2692
Br5 0.7308 0.2692 0.7308
Br6 0.7308 0.7308 0.2692
# Total moment = 0.25 μB/f.u.
# Total energy = -2.922 eV per atom

=====

Record 4
# GGA-PBE PmThU, relaxed
data_PmThU
_symmetry_space_group_name_H-M 'P 1'
_symmetry_Int_Tables_number 1
_symmetry_space_group_name_Hall 'P 1'
_cell_length_a 7.4195
_cell_length_b 7.4195
_cell_length_c 7.4195
_cell_angle_alpha 90.00
_cell_angle_beta 90.00
_cell_angle_gamma 90.00
loop_
_atom_site_label
_atom_site_fract_x
_atom_site_fract_y
_atom_site_fract_z
Pm1 0.0000 0.0000 0.0000
Pm2 0.0000 0.5000 0.5000
Pm3 0.5000 0.0000 0.5000
Pm4 0.5000 0.5000 0.0000
Th1 0.0000 0.0000 0.5000
Th2 0.0000 0.5000 0.0000
Th3 0.5000 0.0000 0.0000
Th4 0.5000 0.5000 0.5000
U1 0.2500 0.2500 0.2500
U2 0.2500 0.7500 0.7500
U3 0.7500 0.2500 0.7500
U4 0.7500 0.7500 0.2500
# Total moment = 4.52 μB/f.u.
# Offset from the most stable computed form = 0 meV/atom

=====

Record 5
# GGA-PBE BeNbSbTe, relaxed
data_BeNbSbTe
_symmetry_space_group_name_H-M 'P 1'
_symmetry_Int_Tables_number 1
_symmetry_space_group_name_Hall 'P 1'
_cell_length_a 6.8554
_cell_length_b 6.8554
_cell_length_c 6.8554
_cell_angle_alpha 90.00
_cell_angle_beta 90.00
_cell_angle_gamma 90.00
loop_
_atom_site_label
_atom_site_fract_x
_atom_site_fract_y
_atom_site_fract_z
Be1 0.0000 0.0000 0.0000
Be2 0.0000 0.5000 0.5000
Be3 0.5000 0.0000 0.5000
Be4 0.5000 0.5000 0.0000
Nb1 0.0000 0.0000 0.5000
Nb2 0.0000 0.5000 0.0000
Nb3 0.5000 0.0000 0.0000
Nb4 0.5000 0.5000 0.5000
Sb1 0.2500 0.2500 0.7500
Sb2 0.2500 0.7500 0.2500
Sb3 0.7500 0.2500 0.2500
Sb4 0.7500 0.7500 0.7500
Te1 0.2500 0.2500 0.2500
Te2 0.2500 0.7500 0.7500
Te3 0.7500 0.2500 0.7500
Te4 0.7500 0.7500 0.2500
# Total moment = 1.23 μB/f.u.
# Offset from the most stable computed form = 0 meV/atom

=====

Record 6
# GGA-PBE TaReNiSn, relaxed
data_TaReNiSn
_symmetry_space_group_name_H-M 'P 1'
_symmetry_Int_Tables_number 1
_symmetry_space_group_name_Hall 'P 1'
_cell_length_a 6.3802
_cell_length_b 6.3802
_cell_length_c 6.3802
_cell_angle_alpha 90.00
_cell_angle_beta 90.00
_cell_angle_gamma 90.00
loop_
_atom_site_label
_atom_site_fract_x
_atom_site_fract_y
_atom_site_fract_z
Ta1 0.0000 0.0000 0.0000
Ta2 0.0000 0.5000 0.5000
Ta3 0.5000 0.0000 0.5000
Ta4 0.5000 0.5000 0.0000
Re1 0.2500 0.2500 0.7500
Re2 0.2500 0.7500 0.2500
Re3 0.7500 0.2500 0.2500
Re4 0.7500 0.7500 0.7500
Ni1 0.0000 0.0000 0.5000
Ni2 0.0000 0.5000 0.0000
Ni3 0.5000 0.0000 0.0000
Ni4 0.5000 0.5000 0.5000
Sn1 0.2500 0.2500 0.2500
Sn2 0.2500 0.7500 0.7500
Sn3 0.7500 0.2500 0.7500
Sn4 0.7500 0.7500 0.2500
# Total moment = 0.13 μB/f.u.
# Total energy = -8.138 eV per atom